The following is a DFT calculation (GGA-PBE) of a geometry-optimized ZnCl structure.

Calculated volume (Å³/f.u.): 46.8
DOS at the Fermi energy (states/eV per cell): 1.521
Formation energy without anion corrections (eV/atom): -0.6401
Mass density (g cm⁻³): 3.578
Calculated total energy (eV/atom): -2.20

abc: 5.079 3.336 5.953
angles: 90.00 111.89 90.00
Space group P2_1/m (No. 11)
Asymmetric unit:
Zn 0.177 0.250 0.461 x2
Cl 0.345 0.750 0.222 x2



The following is a DFT calculation (GGA-PBE) of a geometry-optimized ZnCl structure.

Calculated volume (Å³/f.u.): 42.2
DOS at the Fermi energy (states/eV per cell): 1.318
Formation energy without anion corrections (eV/atom): -0.1786
Mass density (g cm⁻³): 3.971
Calculated total energy (eV/atom): -1.74

abc: 3.6305 3.6305 3.6954
angles: 90.00 90.00 120.00
Space group P-6m2 (No. 187)
Asymmetric unit:
Zn 0.0000 0.0000 0.0000 x1
Cl 0.3333 0.6667 0.5000 x1



The following is a DFT calculation (GGA-PBE) of a geometry-optimized ZnCl structure.

Calculated volume (Å³/f.u.): 57.7
DOS at the Fermi energy (states/eV per cell): 0.000
Formation energy without anion corrections (eV/atom): -0.7330
Mass density (g cm⁻³): 2.903
Calculated total energy (eV/atom): -2.29

abc: 6.354 6.983 10.402
angles: 90.00 90.00 90.00
Space group P2_12_12_1 (No. 19)
Asymmetric unit:
Zn 0.115 0.013 0.021 x4
Zn 0.245 0.820 0.188 x4
Cl 0.055 0.473 0.682 x4
Cl 0.113 0.788 0.406 x4